CuReTe SCAN PBEsol geometry; crystal system = cubic; energy relative to the elements, uncorrected = 917 meV per atom; ΔE to the lowest computed polymorph = 0 meV/atom; DOS at the Fermi energy = 1.50 states/eV/f.u.
1.0
4.2567 0.0000 0.0000
2.1283 3.6864 0.0000
2.1283 1.2288 3.4756
Te Re Cu
1 1 1
Cartesian
2.1283 1.2288 0.8689 Te
4.2567 2.4576 1.7378 Re
0.0000 0.0000 0.0000 Cu